The following is a DFT calculation (PBE) of a geometry-optimized CaMg2CuGe2 structure.

The structure in CIF format:
```
data_CaMg2CuGe2
_cell_length_a 5.306
_cell_length_b 5.306
_cell_length_c 10.662
_cell_angle_alpha 90.00
_cell_angle_beta 90.00
_cell_angle_gamma 90.00
_space_group_name_H-M_alt 'I 4/m m m'
_space_group_IT_number 139
_space_group_name_Hall '-I 4 2'
loop_
_atom_site_label
_atom_site_fract_x
_atom_site_fract_y
_atom_site_fract_z
_atom_site_occupancy
Ca1 0.000 0.000 0.000 1
Mg1 0.000 0.500 0.250 1
Cu1 0.000 0.000 0.500 1
Ge1 0.000 0.000 0.286 1
```



The following is a DFT calculation (PBE) of a geometry-optimized Si3AuS structure.

The structure in CIF format:
```
data_Si3AuS
_cell_length_a 4.513
_cell_length_b 4.513
_cell_length_c 4.513
_cell_angle_alpha 90.00
_cell_angle_beta 90.00
_cell_angle_gamma 90.00
_space_group_name_H-M_alt 'P m -3 m'
_space_group_IT_number 221
_space_group_name_Hall '-P 4 2 3'
loop_
_atom_site_label
_atom_site_fract_x
_atom_site_fract_y
_atom_site_fract_z
_atom_site_occupancy
Si1 0.000 0.000 0.500 1
Au1 0.500 0.500 0.500 1
S1 0.000 0.000 0.000 1
```

Properties
**Uncorrected formation energy**: 0.84 eV per atom



The following is a DFT calculation (PBE) of a geometry-optimized KBaSr structure.

The structure in CIF format:
```
data_KBaSr
_cell_length_a 6.927
_cell_length_b 6.928
_cell_length_c 11.127
_cell_angle_alpha 89.96
_cell_angle_beta 71.98
_cell_angle_gamma 60.02
_space_group_name_H-M_alt 'P -1'
_space_group_IT_number 2
loop_
_space_group_symop_operation_xyz
'x,y,z'
'-x,-y,-z'
loop_
_atom_site_label
_atom_site_fract_x
_atom_site_fract_y
_atom_site_fract_z
_atom_site_occupancy
K1 0.081 0.210 0.127 1
Ba1 0.208 0.646 0.438 1
Sr1 0.375 0.062 0.688 1
```



| no. | calculated volume (Å³/atom) | raw total energy (eV per atom) |
| --- | --- | --- |
| 1 | 25.0 | -3.101 |
| 2 | 18.4 | -3.899 |
| 3 | 72.0 | -1.392 |